Version A
Below is La2TaRe after structural relaxation, with properties calculated at the PBE level.

Cell and atoms, written as CIF:
```
data_La2TaRe
_chemical_formula_sum 'La4 Ta2 Re2'
_cell_length_a 3.3417
_cell_length_b 4.1678
_cell_length_c 16.6914
_cell_angle_alpha 90.00
_cell_angle_beta 90.00
_cell_angle_gamma 90.00
_space_group_name_H-M_alt 'I m m m'
_space_group_IT_number 71
_space_group_name_Hall '-I 2 2'
loop_
_atom_site_label
_atom_site_type_symbol
_atom_site_fract_x
_atom_site_fract_y
_atom_site_fract_z
_atom_site_occupancy
La1 La 0.0000 0.0000 0.1519 1
Ta1 Ta 0.0000 0.5000 0.0000 1
Re1 Re 0.0000 0.5000 0.5000 1
```


Version B
Below is La2TaRe after structural relaxation, with properties calculated at the PBE level.

Cell and atoms, written as CIF:
```
data_La2TaRe
_chemical_formula_sum 'La4 Ta2 Re2'
_cell_length_a 4.0953
_cell_length_b 4.0953
_cell_length_c 10.7851
_cell_angle_alpha 90.00
_cell_angle_beta 90.00
_cell_angle_gamma 90.00
_space_group_name_H-M_alt 'I 4/m m m'
_space_group_IT_number 139
_space_group_name_Hall '-I 4 2'
loop_
_atom_site_label
_atom_site_type_symbol
_atom_site_fract_x
_atom_site_fract_y
_atom_site_fract_z
_atom_site_occupancy
La1 La 0.0000 0.5000 0.2500 1
Ta1 Ta 0.0000 0.0000 0.0000 1
Re1 Re 0.0000 0.0000 0.5000 1
```


Version C
Below is La2TaRe after structural relaxation, with properties calculated at the PBE level.

Cell and atoms, written as CIF:
```
data_La2TaRe
_chemical_formula_sum 'La8 Ta4 Re4'
_cell_length_a 8.6177
_cell_length_b 8.6177
_cell_length_c 5.6198
_cell_angle_alpha 90.00
_cell_angle_beta 90.00
_cell_angle_gamma 90.00
_space_group_name_H-M_alt 'I -4 2 d'
_space_group_IT_number 122
_space_group_name_Hall 'I -4 2bw'
loop_
_atom_site_label
_atom_site_type_symbol
_atom_site_fract_x
_atom_site_fract_y
_atom_site_fract_z
_atom_site_occupancy
La1 La 0.1896 0.2500 0.1250 1
Ta1 Ta 0.0000 0.0000 0.5000 1
Re1 Re 0.0000 0.0000 0.0000 1
```


The structure with the most favorable energy is version A; the runner-up is 295 meV/atom above it.


Version A
Below is LaTa3Re after structural relaxation, with properties calculated at the PBE level.

Cell and atoms, written as CIF:
```
data_LaTa3Re
_chemical_formula_sum 'La1 Ta3 Re1'
_cell_length_a 4.7988
_cell_length_b 4.7988
_cell_length_c 4.7988
_cell_angle_alpha 90.00
_cell_angle_beta 90.00
_cell_angle_gamma 90.00
_space_group_name_H-M_alt 'P m -3 m'
_space_group_IT_number 221
_space_group_name_Hall '-P 4 2 3'
loop_
_atom_site_label
_atom_site_type_symbol
_atom_site_fract_x
_atom_site_fract_y
_atom_site_fract_z
_atom_site_occupancy
La1 La 0.0000 0.0000 0.0000 1
Ta1 Ta 0.0000 0.0000 0.5000 1
Re1 Re 0.5000 0.5000 0.5000 1
```


Version B
Below is LaTa3Re after structural relaxation, with properties calculated at the PBE level.

Cell and atoms, written as CIF:
```
data_LaTa3Re
_chemical_formula_sum 'La1 Ta3 Re1'
_cell_length_a 4.9617
_cell_length_b 4.9617
_cell_length_c 4.9617
_cell_angle_alpha 90.00
_cell_angle_beta 90.00
_cell_angle_gamma 90.00
_space_group_name_H-M_alt 'P m -3 m'
_space_group_IT_number 221
_space_group_name_Hall '-P 4 2 3'
loop_
_atom_site_label
_atom_site_type_symbol
_atom_site_fract_x
_atom_site_fract_y
_atom_site_fract_z
_atom_site_occupancy
La1 La 0.0000 0.0000 0.0000 1
Ta1 Ta 0.0000 0.5000 0.5000 1
Re1 Re 0.5000 0.5000 0.5000 1
```


The structure with the most favorable energy is version B; the runner-up is 1863 meV/atom above it.


Version A
Below is LaRe3Te after structural relaxation, with properties calculated at the PBE level.

Cell and atoms, written as CIF:
```
data_LaRe3Te
_chemical_formula_sum 'La1 Re3 Te1'
_cell_length_a 4.8798
_cell_length_b 4.8798
_cell_length_c 4.8798
_cell_angle_alpha 90.00
_cell_angle_beta 90.00
_cell_angle_gamma 90.00
_space_group_name_H-M_alt 'P m -3 m'
_space_group_IT_number 221
_space_group_name_Hall '-P 4 2 3'
loop_
_atom_site_label
_atom_site_type_symbol
_atom_site_fract_x
_atom_site_fract_y
_atom_site_fract_z
_atom_site_occupancy
La1 La 0.0000 0.0000 0.0000 1
Re1 Re 0.0000 0.0000 0.5000 1
Te1 Te 0.5000 0.5000 0.5000 1
```


Version B
Below is LaRe3Te after structural relaxation, with properties calculated at the PBE level.

Cell and atoms, written as CIF:
```
data_LaRe3Te
_chemical_formula_sum 'La1 Re3 Te1'
_cell_length_a 4.9055
_cell_length_b 4.9055
_cell_length_c 4.9055
_cell_angle_alpha 90.00
_cell_angle_beta 90.00
_cell_angle_gamma 90.00
_space_group_name_H-M_alt 'P m -3 m'
_space_group_IT_number 221
_space_group_name_Hall '-P 4 2 3'
loop_
_atom_site_label
_atom_site_type_symbol
_atom_site_fract_x
_atom_site_fract_y
_atom_site_fract_z
_atom_site_occupancy
La1 La 0.0000 0.0000 0.0000 1
Re1 Re 0.0000 0.5000 0.5000 1
Te1 Te 0.5000 0.5000 0.5000 1
```


The structure with the most favorable energy is version B; the runner-up is 1284 meV/atom above it.